KFeN3: optimized geometry, GGA-PBEsol.

E_tot (eV per cell): -18.06
Symmetry: Pm-3m
Raw formation energy (eV/atom): 3.5241
Crystal system: cubic
Density of states at the Fermi level (states/eV/atom): 0.90

Lattice parameters (Å, degrees): 4.153 4.153 4.153 90.00 90.00 90.00
Element x y z (fractional)
K (0.000, 0.000, 0.000)
Fe (0.500, 0.500, 0.500)
N (0.000, 0.000, 0.500)
N (0.000, 0.500, 0.000)
N (0.500, 0.000, 0.000)